[1]
LiBS2 | Alexandria via LeMat-Bulk | PBE-GGA | relaxed; ΔE_f (raw) = -0.64 eV/atom; crystal system = trigonal
1.0
4.169 0.000 0.000
-2.084 3.610 0.000
0.000 0.000 17.658
Li B S
3 3 6
Cartesian
0.000 0.000 0.000 Li
0.000 2.407 11.772 Li
2.084 1.203 5.886 Li
0.000 0.000 8.829 B
0.000 2.407 2.943 B
2.084 1.203 14.715 B
0.000 0.000 7.151 S
0.000 0.000 10.507 S
0.000 2.407 1.265 S
0.000 2.407 4.621 S
2.084 1.203 13.037 S
2.084 1.203 16.393 S

[2]
Li2SiBS4 | Alexandria via LeMat-Bulk | PBE-GGA | relaxed; ΔE_f (raw) = -0.66 eV/atom; crystal system = triclinic
1.0
5.162 0.000 0.000
0.213 5.629 0.000
2.520 2.257 4.807
Li Si B S
2 1 1 4
Cartesian
0.000 0.000 0.000 Li
2.818 5.416 2.497 Li
5.083 5.140 4.735 Si
5.279 2.622 2.316 B
1.343 1.524 1.328 S
4.484 6.970 3.412 S
4.161 3.788 1.186 S
6.318 3.796 3.481 S

[3]
Li2SnBS4 | Alexandria via LeMat-Bulk | PBE-GGA | relaxed; ΔE_f (raw) = -0.68 eV/atom; crystal system = tetragonal
1.0
5.569 0.000 0.000
0.000 5.569 0.000
0.000 0.000 10.363
Li Sn B S
4 2 2 8
Cartesian
0.000 0.000 0.000 Li
0.000 2.784 2.591 Li
2.784 0.000 7.772 Li
2.784 2.784 5.181 Li
0.000 0.000 5.181 Sn
2.784 2.784 0.000 Sn
0.000 2.784 7.772 B
2.784 0.000 2.591 B
1.037 4.041 8.839 S
1.256 1.747 6.705 S
1.528 1.037 1.524 S
1.747 4.313 3.657 S
3.822 1.256 3.657 S
4.041 4.532 1.524 S
4.313 3.822 6.705 S
4.532 1.528 8.839 S

[4]
Sr2LiB2S6 | Alexandria via LeMat-Bulk | PBE-GGA | relaxed; ΔE_f (raw) = -1.10 eV/atom; crystal system = monoclinic
1.0
5.759 -3.031 0.000
5.759 3.031 0.000
-3.767 0.000 6.742
Sr Li B S
2 1 2 6
Cartesian
1.534 0.000 1.448 Sr
6.216 0.000 5.294 Sr
-1.884 0.000 3.371 Li
2.413 0.000 5.027 B
5.337 0.000 1.715 B
4.359 1.500 1.366 S
0.730 0.000 4.420 S
3.391 1.500 5.375 S
4.359 -1.500 1.366 S
7.020 0.000 2.321 S
3.391 -1.500 5.375 S

[5]
SrLiBS3 | Alexandria via LeMat-Bulk | PBE-GGA | relaxed; ΔE_f (raw) = -1.26 eV/atom; crystal system = orthorhombic
1.0
7.580 0.000 0.000
0.000 9.174 0.000
0.000 0.000 7.122
Sr Li B S
4 4 4 12
Cartesian
1.077 2.293 0.198 Sr
2.713 6.880 3.759 Sr
4.867 2.293 3.364 Sr
6.502 6.880 6.925 Sr
0.000 0.000 3.561 Li
0.000 4.587 3.561 Li
3.790 0.000 0.000 Li
3.790 4.587 0.000 Li
1.615 2.293 3.281 B
2.175 6.880 6.843 B
5.405 2.293 0.280 B
5.965 6.880 3.841 B
0.180 2.293 4.428 S
1.496 5.320 6.178 S
1.496 8.441 6.178 S
2.294 0.733 2.617 S
2.294 3.854 2.617 S
3.610 6.880 0.867 S
3.970 2.293 6.255 S
5.286 5.320 4.506 S
5.286 8.441 4.506 S
6.084 0.733 0.944 S
6.084 3.854 0.944 S
7.400 6.880 2.694 S

[6]
SrLi2BS4 | Alexandria via LeMat-Bulk | PBE-GGA | relaxed; ΔE_f (raw) = -1.08 eV/atom; crystal system = tetragonal
1.0
6.359 0.000 0.000
0.000 6.359 0.000
0.000 0.000 7.459
Sr Li B S
2 4 2 8
Cartesian
0.000 0.000 0.000 Sr
3.180 3.180 3.730 Sr
0.000 3.180 1.865 Li
0.000 3.180 5.595 Li
3.180 0.000 1.865 Li
3.180 0.000 5.595 Li
0.000 0.000 3.730 B
3.180 3.180 0.000 B
1.142 1.142 2.673 S
1.142 5.218 4.787 S
2.038 2.038 6.403 S
2.038 4.322 1.057 S
4.322 2.038 1.057 S
4.322 4.322 6.403 S
5.218 1.142 4.787 S
5.218 5.218 2.673 S

[7]
LiTiB2S | Alexandria via LeMat-Bulk | PBE-GGA | relaxed; ΔE_f (raw) = 1.02 eV/atom; crystal system = tetragonal
1.0
3.942 0.000 0.000
0.000 3.942 0.000
0.000 0.000 3.923
Li Ti B S
1 1 2 1
Cartesian
0.000 0.000 0.000 Li
1.971 1.971 0.000 Ti
0.000 1.971 1.961 B
1.971 0.000 1.961 B
0.000 0.000 1.961 S

[8]
LiTlBS2 | Alexandria via LeMat-Bulk | PBE-GGA | relaxed; ΔE_f (raw) = -0.38 eV/atom; crystal system = orthorhombic
1.0
3.336 -9.068 0.000
3.336 9.068 0.000
0.000 0.000 4.448
Li Tl B S
2 2 2 4
Cartesian
1.668 0.000 0.000 Li
5.004 0.000 0.000 Li
3.336 4.534 2.591 Tl
3.336 -4.534 1.858 Tl
0.000 0.000 2.224 B
3.336 0.000 2.224 B
3.336 7.685 1.255 S
3.336 1.383 1.255 S
3.336 -1.383 3.193 S
3.336 -7.685 3.193 S

[9]
LiB2WS | Alexandria via LeMat-Bulk | PBE-GGA | relaxed; ΔE_f (raw) = 1.63 eV/atom; crystal system = tetragonal
1.0
3.866 0.000 0.000
0.000 3.866 0.000
0.000 0.000 4.470
Li B W S
1 2 1 1
Cartesian
0.000 0.000 0.000 Li
0.000 1.933 2.235 B
1.933 0.000 2.235 B
1.933 1.933 0.000 W
1.933 1.933 2.235 S

[10]
Li3BSb | Alexandria via LeMat-Bulk | PBE-GGA | relaxed; ΔE to the lowest computed polymorph = 0.453 eV/atom; ΔE_f (raw) = 0.76 eV/atom; crystal system = cubic
1.0
5.125 0.000 0.000
0.000 5.125 0.000
0.000 0.000 5.125
Li B Sb
3 1 1
Cartesian
0.000 0.000 2.562 Li
0.000 2.562 0.000 Li
2.562 0.000 0.000 Li
2.562 2.562 2.562 B
0.000 0.000 0.000 Sb

[11]
Li3BSb | Alexandria via LeMat-Bulk | PBE-GGA | relaxed; ΔE to the lowest computed polymorph = 0.000 eV/atom; ΔE_f (raw) = 0.31 eV/atom; crystal system = cubic
1.0
4.313 0.000 0.000
0.000 4.313 0.000
0.000 0.000 4.313
Li B Sb
3 1 1
Cartesian
0.000 0.000 2.156 Li
0.000 2.156 0.000 Li
2.156 0.000 0.000 Li
0.000 0.000 0.000 B
2.156 2.156 2.156 Sb

[12]
LiBSb2 | Alexandria via LeMat-Bulk | PBE-GGA | relaxed; ΔE_f (raw) = 0.31 eV/atom; crystal system = tetragonal
1.0
6.161 0.000 0.000
0.000 6.161 0.000
0.000 0.000 9.811
Li B Sb
4 4 8
Cartesian
0.000 0.000 0.000 Li
0.000 3.081 2.453 Li
3.081 0.000 7.358 Li
3.081 3.081 4.905 Li
0.000 0.000 4.905 B
0.000 3.081 7.358 B
3.081 0.000 2.453 B
3.081 3.081 0.000 B
1.166 1.540 6.132 Sb
1.540 4.246 8.584 Sb
1.540 4.995 3.679 Sb
1.915 1.540 1.226 Sb
4.246 4.621 1.226 Sb
4.621 1.166 3.679 Sb
4.621 1.915 8.584 Sb
4.995 4.621 6.132 Sb

[13]
LiB2Sb | Alexandria via LeMat-Bulk | PBE-GGA | relaxed; ΔE_f (raw) = 1.13 eV/atom; crystal system = tetragonal
1.0
6.838 0.000 0.000
0.000 6.838 0.000
0.000 0.000 4.957
Li B Sb
4 8 4
Cartesian
0.000 0.000 0.000 Li
0.000 3.419 1.239 Li
3.419 0.000 3.718 Li
3.419 3.419 2.479 Li
1.423 1.709 3.098 B
1.709 4.842 4.338 B
1.709 5.414 1.859 B
1.995 1.709 0.620 B
4.842 5.128 0.620 B
5.128 1.423 1.859 B
5.128 1.995 4.338 B
5.414 5.128 3.098 B
0.000 0.000 2.479 Sb
0.000 3.419 3.718 Sb
3.419 0.000 1.239 Sb
3.419 3.419 0.000 Sb

[14]
LiSi2BSb | Alexandria via LeMat-Bulk | PBE-GGA | relaxed; ΔE_f (raw) = 1.42 eV/atom; crystal system = tetragonal
1.0
4.239 0.000 0.000
0.000 4.239 0.000
0.000 0.000 5.063
Li Si B Sb
1 2 1 1
Cartesian
0.000 0.000 0.000 Li
0.000 2.120 0.000 Si
2.120 0.000 0.000 Si
2.120 2.120 2.531 B
0.000 0.000 2.531 Sb

[15]
LiSc2B9 | Alexandria via LeMat-Bulk | PBE-GGA | relaxed; crystal system = trigonal; energy of formation = -0.18 eV per atom
1.0
2.289 1.322 7.361
-2.289 1.322 7.361
0.000 -2.643 7.361
Li Sc B
1 2 9
Cartesian
0.000 0.000 0.000 Li
0.000 0.000 2.824 Sc
0.000 0.000 19.259 Sc
-0.837 -0.483 9.462 B
0.000 0.000 5.378 B
0.000 -0.966 12.621 B
-0.837 0.483 12.621 B
0.000 0.000 11.042 B
0.837 -0.483 9.462 B
0.000 0.966 9.462 B
0.000 0.000 16.705 B
0.837 0.483 12.621 B

[16]
Li2ScB | Alexandria via LeMat-Bulk | PBE-GGA | relaxed; crystal system = tetragonal; energy of formation = 0.30 eV per atom
1.0
3.543 0.000 0.000
0.000 3.543 0.000
0.000 0.000 18.634
Li Sc B
8 4 4
Cartesian
0.657 2.657 2.329 Li
0.886 0.657 16.304 Li
0.886 1.114 6.988 Li
1.114 2.657 11.646 Li
2.429 0.886 11.646 Li
2.657 2.429 6.988 Li
2.657 2.886 16.304 Li
2.886 0.886 2.329 Li
0.000 0.000 9.317 Sc
0.000 1.771 13.975 Sc
1.771 0.000 4.658 Sc
1.771 1.771 0.000 Sc
0.000 0.000 0.000 B
0.000 1.771 4.658 B
1.771 0.000 13.975 B
1.771 1.771 9.317 B

[17]
LiScB4 | Alexandria via LeMat-Bulk | PBE-GGA | relaxed; crystal system = orthorhombic; energy of formation = -0.41 eV per atom
1.0
5.691 0.000 0.000
0.000 11.303 0.000
0.000 0.000 3.425
Li Sc B
4 4 16
Cartesian
0.744 0.965 0.000 Li
2.102 6.616 0.000 Li
3.589 4.687 0.000 Li
4.947 10.338 0.000 Li
0.709 3.927 0.000 Sc
2.136 9.578 0.000 Sc
3.555 1.725 0.000 Sc
4.981 7.376 0.000 Sc
0.162 9.100 1.713 B
0.651 10.726 1.713 B
0.762 6.031 1.713 B
1.201 7.755 1.713 B
1.644 2.104 1.713 B
2.083 0.380 1.713 B
2.195 5.074 1.713 B
2.684 3.449 1.713 B
3.007 7.854 1.713 B
3.496 6.229 1.713 B
3.608 10.923 1.713 B
4.047 9.199 1.713 B
4.490 3.548 1.713 B
4.929 5.271 1.713 B
5.040 0.577 1.713 B
5.529 2.203 1.713 B

[18]
Li2Sc2B | Alexandria via LeMat-Bulk | PBE-GGA | relaxed; ΔE to the lowest computed polymorph = 0.000 eV/atom; crystal system = tetragonal; energy of formation = 0.38 eV per atom
1.0
6.015 0.000 0.000
0.000 6.015 0.000
0.000 0.000 4.281
Li Sc B
4 4 2
Cartesian
0.838 2.170 0.000 Li
2.170 5.177 0.000 Li
3.845 0.838 0.000 Li
5.177 3.845 0.000 Li
1.167 4.175 2.141 Sc
1.840 1.167 2.141 Sc
4.175 4.848 2.141 Sc
4.848 1.840 2.141 Sc
0.000 0.000 0.000 B
3.007 3.007 0.000 B

[19]
Li2Sc2B | Alexandria via LeMat-Bulk | PBE-GGA | relaxed; ΔE to the lowest computed polymorph = 0.691 eV/atom; crystal system = tetragonal; energy of formation = 1.07 eV per atom
1.0
3.951 0.000 0.000
0.000 3.951 0.000
0.000 0.000 11.553
Li Sc B
4 4 2
Cartesian
0.000 0.000 0.929 Li
0.000 0.000 10.624 Li
1.976 1.976 4.847 Li
1.976 1.976 6.706 Li
0.000 1.976 2.888 Sc
0.000 1.976 8.665 Sc
1.976 0.000 2.888 Sc
1.976 0.000 8.665 Sc
0.000 0.000 5.777 B
1.976 1.976 0.000 B

[20]
LiSc2TcB | Alexandria via LeMat-Bulk | PBE-GGA | relaxed; crystal system = tetragonal; energy of formation = 0.39 eV per atom
1.0
4.993 0.000 0.000
0.000 4.993 0.000
0.000 0.000 4.210
Li Sc Tc B
1 2 1 1
Cartesian
0.000 0.000 0.000 Li
0.000 2.496 2.105 Sc
2.496 0.000 2.105 Sc
2.496 2.496 2.105 Tc
2.496 2.496 0.000 B

[21]
Li3BSe | Alexandria via LeMat-Bulk | PBE-GGA | relaxed; ΔE to the lowest computed polymorph = 0.068 eV/atom; ΔE_f (raw) = 0.27 eV/atom; crystal system = cubic
1.0
4.761 0.000 0.000
0.000 4.761 0.000
0.000 0.000 4.761
Li B Se
3 1 1
Cartesian
0.000 0.000 2.381 Li
0.000 2.381 0.000 Li
2.381 0.000 0.000 Li
2.381 2.381 2.381 B
0.000 0.000 0.000 Se

[22]
Li3BSe3 | Alexandria via LeMat-Bulk | PBE-GGA | relaxed; ΔE_f (raw) = -0.79 eV/atom; crystal system = monoclinic
1.0
7.659 0.000 0.000
0.000 6.784 0.000
-1.683 0.000 9.887
Li B Se
12 4 12
Cartesian
0.467 1.588 0.823 Li
-0.374 1.804 5.766 Li
1.069 5.027 2.054 Li
0.227 5.148 6.997 Li
2.480 1.170 3.886 Li
1.638 2.221 8.829 Li
4.338 4.562 1.058 Li
3.496 5.613 6.002 Li
5.748 1.636 2.890 Li
4.907 1.756 7.834 Li
6.350 4.980 4.121 Li
5.508 5.195 9.065 Li
1.755 3.941 4.441 B
0.914 6.235 9.384 B
5.062 0.549 0.503 B
4.221 2.843 5.447 B
-0.459 0.546 8.275 Se
0.383 2.846 3.332 Se
0.273 4.292 9.632 Se
1.114 5.883 4.689 Se
3.098 0.406 1.318 Se
2.257 2.985 6.262 Se
3.719 3.798 3.626 Se
2.877 6.377 8.569 Se
4.861 0.900 5.199 Se
5.703 2.492 0.255 Se
5.593 3.937 6.556 Se
6.434 6.238 1.612 Se

[23]
Li4BSe4 | Alexandria via LeMat-Bulk | PBE-GGA | relaxed; ΔE_f (raw) = -0.70 eV/atom; crystal system = tetragonal
1.0
-3.058 3.058 4.959
3.058 -3.058 4.959
3.058 3.058 -4.959
Li B Se
4 1 4
Cartesian
3.058 0.000 0.000 Li
0.000 0.000 1.771 Li
0.000 3.058 0.000 Li
0.000 0.000 8.148 Li
0.000 0.000 4.959 B
1.865 1.865 -1.249 Se
1.193 -1.193 6.208 Se
1.193 1.193 3.710 Se
-1.193 1.193 6.208 Se

These records have raw total energy values of -4.85, -4.72, -4.56, -5.05, -5.03, -4.66, -4.44, -4.23, -4.84, -2.54, -3.00, -3.90, -3.72, -3.29, -6.40, -3.91, -6.24, -4.25, -3.56, -5.93, -2.91, -4.06, -3.84 eV per atom, in the order they appear.
These records have M_tot values of 0.000, 0.119, 0.000, 0.000, 0.000, 0.000, 0.000, 0.000, 0.000, 0.192, 0.000, 0.000, 0.000, 0.000, 0.000, 0.000, 0.000, 0.174, 0.000, 0.000, 0.396, 0.000, 0.096 μB/atom, in the order they appear.